The following is a meta-GGA SCAN calculation of a PBEsol-optimized structure of Te4PAu, from Alexandria.

For the formation energy (no corrections), the calculation gives 0.96 eV/atom.

Lattice parameters (Å, degrees): 6.0626 6.0626 6.0626 60.00 60.00 60.00
Last column: nearest neighbours and their distance in Å.
Positions (direct):
Te 0.1249 0.1249 0.1249  6 Te 3.03
Te 0.1249 0.1249 0.6254  6 Te 3.03
Te 0.1249 0.6254 0.1249  6 Te 3.03
Te 0.6254 0.1249 0.1249  6 Te 3.03
P 0.7500 0.7500 0.7500  12 Te 3.55, 4 Au 3.71
Au 0.5000 0.5000 0.5000  12 Te 3.55, 4 P 3.71

The following is a meta-GGA SCAN calculation of a PBEsol-optimized structure of KNbAs2, from Alexandria.

The energy of formation from the pure elements comes out at -0.283 eV/atom.

Lattice parameters (Å, degrees): 7.0391 7.0391 10.8687 90.00 90.00 90.00
Last column: nearest neighbours and their distance in Å.
Positions (direct):
K 0.0000 0.0000 0.0000  4 As 3.36
K 0.0000 0.5000 0.2500  4 As 3.36
K 0.5000 0.0000 0.7500  4 As 3.36
K 0.5000 0.5000 0.5000  4 As 3.36
Nb 0.0000 0.0000 0.5000  4 As 2.44
Nb 0.0000 0.5000 0.7500  4 As 2.44
Nb 0.5000 0.0000 0.2500  4 As 2.44
Nb 0.5000 0.5000 0.0000  4 As 2.44
As 0.1427 0.7500 0.6250  2 Nb 2.44
As 0.2500 0.1427 0.3750  2 Nb 2.44
As 0.2500 0.3573 0.8750  2 Nb 2.44
As 0.3573 0.7500 0.1250  2 Nb 2.44
As 0.6427 0.2500 0.1250  2 Nb 2.44
As 0.7500 0.6427 0.8750  2 Nb 2.44
As 0.7500 0.8573 0.3750  2 Nb 2.44
As 0.8573 0.2500 0.6250  2 Nb 2.44